No. 1
This record from Alexandria via LeMat-Bulk describes GdErAu after structural relaxation. The functional is GGA-PBE.

Total magnetization in μB/atom: 2.486
E in eV per atom: -7.7565
Density of states at the Fermi level in states/eV/f.u.: 3.56
Energy of formation from the pure elements in meV/atom: -449.4
Energy relative to the lowest polymorph listed for this composition in meV per atom: 107.3

a = 4.975 Å, b = 4.975 Å, c = 4.975 Å
α = 60.00°, β = 60.00°, γ = 60.00°
Positions (direct):
Gd1 0.000 0.000 0.000
Er1 0.500 0.500 0.500
Au1 0.250 0.250 0.250

No. 2
This record from Alexandria via LeMat-Bulk describes GdErAu after structural relaxation. The functional is GGA-PBE.

Total magnetization in μB/atom: 2.711
E in eV per atom: -7.8638
Density of states at the Fermi level in states/eV/f.u.: 3.25
Energy of formation from the pure elements in meV/atom: -556.8
Energy relative to the lowest polymorph listed for this composition in meV per atom: 0.0

a = 6.618 Å, b = 6.618 Å, c = 6.618 Å
α = 148.43°, β = 148.43°, γ = 45.25°
Positions (direct):
Gd1 0.000 0.000 0.000
Er1 0.291 0.291 0.000
Au1 0.657 0.657 0.000

No. 3
This record from Alexandria via LeMat-Bulk describes GdErAu after structural relaxation. The functional is GGA-PBE.

Total magnetization in μB/atom: 2.373
E in eV per atom: -7.7200
Density of states at the Fermi level in states/eV/f.u.: 2.50
Energy of formation from the pure elements in meV/atom: -413.0
Energy relative to the lowest polymorph listed for this composition in meV per atom: 143.8

a = 4.895 Å, b = 4.895 Å, c = 3.847 Å
α = 90.00°, β = 90.00°, γ = 120.00°
Positions (direct):
Gd1 0.000 0.000 0.000
Er1 0.333 0.667 0.528
Au1 0.667 0.333 0.317

No. 4
This record from Alexandria via LeMat-Bulk describes GdErGeAu after structural relaxation. The functional is GGA-PBE.

Total magnetization in μB/atom: 1.925
E in eV per atom: -7.3984
Density of states at the Fermi level in states/eV/f.u.: 3.73
Energy of formation from the pure elements in meV/atom: -763.8

a = 5.077 Å, b = 5.077 Å, c = 5.077 Å
α = 60.00°, β = 60.00°, γ = 60.00°
Positions (direct):
Gd1 0.000 0.000 0.000
Er1 0.500 0.500 0.500
Ge1 0.250 0.250 0.250
Au1 0.750 0.750 0.750